1.
MgPHO2 | GGA-PBEsol | optimized geometry

E (eV/cell): -22.4
Space group: P4/mmm, No. 123
Magnetic moment (μB/cell): 0.0

a = 3.993 Å, b = 3.993 Å, c = 2.888 Å
α = 90.00°, β = 90.00°, γ = 90.00°
Atoms (fractional coordinates):
Mg (0.000, 0.000, 0.000)
P (0.500, 0.500, 0.000)
H (0.500, 0.500, 0.500)
O (0.000, 0.500, 0.500)
O (0.500, 0.000, 0.500)


2.
Mg7P2H8O16 | GGA-PBEsol | optimized geometry

E (eV/cell): -408.2
Space group: P2_1/c, No. 14
Magnetic moment (μB/cell): 0.0

a = 5.230 Å, b = 11.627 Å, c = 10.468 Å
α = 90.00°, β = 113.72°, γ = 90.00°
Atoms (fractional coordinates):
Mg (0.000, 0.000, 0.000)
Mg (0.000, 0.500, 0.500)
Mg (0.048, 0.177, 0.788)
Mg (0.048, 0.323, 0.288)
Mg (0.253, 0.709, 0.997)
Mg (0.253, 0.791, 0.497)
Mg (0.255, 0.070, 0.504)
Mg (0.255, 0.430, 0.004)
Mg (0.745, 0.570, 0.996)
Mg (0.745, 0.930, 0.496)
Mg (0.747, 0.209, 0.503)
Mg (0.747, 0.291, 0.003)
Mg (0.952, 0.677, 0.712)
Mg (0.952, 0.823, 0.212)
P (0.322, 0.580, 0.289)
P (0.322, 0.920, 0.789)
P (0.678, 0.080, 0.211)
P (0.678, 0.420, 0.711)
H (0.266, 0.245, 0.128)
H (0.266, 0.255, 0.628)
H (0.298, 0.523, 0.800)
H (0.298, 0.977, 0.300)
H (0.320, 0.156, 0.303)
H (0.320, 0.344, 0.803)
H (0.356, 0.631, 0.656)
H (0.356, 0.869, 0.156)
H (0.644, 0.131, 0.844)
H (0.644, 0.369, 0.344)
H (0.680, 0.656, 0.197)
H (0.680, 0.844, 0.697)
H (0.702, 0.023, 0.700)
H (0.702, 0.477, 0.200)
H (0.734, 0.745, 0.372)
H (0.734, 0.755, 0.872)
O (0.164, 0.183, 0.624)
O (0.164, 0.317, 0.124)
O (0.168, 0.654, 0.590)
O (0.168, 0.846, 0.090)
O (0.186, 0.569, 0.124)
O (0.186, 0.931, 0.624)
O (0.211, 0.016, 0.856)
O (0.211, 0.484, 0.356)
O (0.251, 0.699, 0.329)
O (0.251, 0.801, 0.829)
O (0.312, 0.564, 0.886)
O (0.312, 0.936, 0.386)
O (0.331, 0.198, 0.387)
O (0.331, 0.302, 0.887)
O (0.357, 0.070, 0.167)
O (0.357, 0.430, 0.667)
O (0.643, 0.570, 0.333)
O (0.643, 0.930, 0.833)
O (0.669, 0.698, 0.113)
O (0.669, 0.802, 0.613)
O (0.688, 0.064, 0.614)
O (0.688, 0.436, 0.114)
O (0.749, 0.199, 0.171)
O (0.749, 0.301, 0.671)
O (0.789, 0.516, 0.644)
O (0.789, 0.984, 0.144)
O (0.814, 0.069, 0.376)
O (0.814, 0.431, 0.876)
O (0.832, 0.154, 0.910)
O (0.832, 0.346, 0.410)
O (0.836, 0.683, 0.876)
O (0.836, 0.817, 0.376)


Question: Which of these has the lowest E?
Answer: Mg7P2H8O16